LaTa2Mo | GGA-PBEsol | relaxed

**Mass density**: 12.31 Mg/m³
**Calculated formation energy**: 0.47 eV/atom
**Relative energy among the computed polymorphs**: 0.000 eV per atom
**Space group**: R-3m

Unit cell a=3.125 b=3.125 c=28.555 alpha=90.00 beta=90.00 gamma=120.00
Fractional positions:
La 0.000 0.000 0.000
La 0.333 0.667 0.667
La 0.667 0.333 0.333
Ta 0.000 0.000 0.236
Ta 0.000 0.000 0.764
Ta 0.333 0.667 0.431
Ta 0.333 0.667 0.902
Ta 0.667 0.333 0.098
Ta 0.667 0.333 0.569
Mo 0.000 0.000 0.500
Mo 0.333 0.667 0.167
Mo 0.667 0.333 0.833

=====

Sm6Al39Cr8 | GGA-PBEsol | relaxed

**Mass density**: 4.46 Mg/m³
**Calculated formation energy**: -0.27 eV/atom
**Space group**: P6_3/mcm

Unit cell a=10.876 b=10.876 c=17.232 alpha=90.00 beta=90.00 gamma=120.00
Fractional positions:
Sm 0.000 0.468 0.097
Sm 0.000 0.468 0.403
Sm 0.000 0.532 0.597
Sm 0.000 0.532 0.903
Sm 0.468 0.000 0.097
Sm 0.468 0.000 0.403
Sm 0.468 0.468 0.597
Sm 0.468 0.468 0.903
Sm 0.532 0.000 0.597
Sm 0.532 0.000 0.903
Sm 0.532 0.532 0.097
Sm 0.532 0.532 0.403
Al 0.000 0.153 0.116
Al 0.000 0.153 0.384
Al 0.000 0.153 0.750
Al 0.000 0.249 0.529
Al 0.000 0.249 0.971
Al 0.000 0.751 0.029
Al 0.000 0.751 0.471
Al 0.000 0.847 0.250
Al 0.000 0.847 0.616
Al 0.000 0.847 0.884
Al 0.153 0.000 0.116
Al 0.153 0.000 0.384
Al 0.153 0.000 0.750
Al 0.153 0.153 0.250
Al 0.153 0.153 0.616
Al 0.153 0.153 0.884
Al 0.154 0.550 0.250
Al 0.154 0.604 0.750
Al 0.167 0.398 0.661
Al 0.167 0.398 0.839
Al 0.167 0.769 0.161
Al 0.167 0.769 0.339
Al 0.231 0.398 0.161
Al 0.231 0.398 0.339
Al 0.231 0.833 0.661
Al 0.231 0.833 0.839
Al 0.249 0.000 0.529
Al 0.249 0.000 0.971
Al 0.249 0.249 0.029
Al 0.249 0.249 0.471
Al 0.250 0.500 0.000
Al 0.250 0.500 0.500
Al 0.250 0.750 0.000
Al 0.250 0.750 0.500
Al 0.396 0.550 0.750
Al 0.396 0.846 0.250
Al 0.398 0.167 0.661
Al 0.398 0.167 0.839
Al 0.398 0.231 0.161
Al 0.398 0.231 0.339
Al 0.450 0.604 0.250
Al 0.450 0.846 0.750
Al 0.500 0.250 0.000
Al 0.500 0.250 0.500
Al 0.500 0.750 0.000
Al 0.500 0.750 0.500
Al 0.550 0.154 0.250
Al 0.550 0.396 0.750
Al 0.602 0.769 0.661
Al 0.602 0.769 0.839
Al 0.602 0.833 0.161
Al 0.602 0.833 0.339
Al 0.604 0.154 0.750
Al 0.604 0.450 0.250
Al 0.750 0.250 0.000
Al 0.750 0.250 0.500
Al 0.750 0.500 0.000
Al 0.750 0.500 0.500
Al 0.751 0.000 0.029
Al 0.751 0.000 0.471
Al 0.751 0.751 0.529
Al 0.751 0.751 0.971
Al 0.769 0.167 0.161
Al 0.769 0.167 0.339
Al 0.769 0.602 0.661
Al 0.769 0.602 0.839
Al 0.833 0.231 0.661
Al 0.833 0.231 0.839
Al 0.833 0.602 0.161
Al 0.833 0.602 0.339
Al 0.846 0.396 0.250
Al 0.846 0.450 0.750
Al 0.847 0.000 0.250
Al 0.847 0.000 0.616
Al 0.847 0.000 0.884
Al 0.847 0.847 0.116
Al 0.847 0.847 0.384
Al 0.847 0.847 0.750
Cr 0.000 0.000 0.000
Cr 0.000 0.000 0.500
Cr 0.000 0.258 0.250
Cr 0.000 0.742 0.750
Cr 0.258 0.000 0.250
Cr 0.258 0.258 0.750
Cr 0.333 0.667 0.132
Cr 0.333 0.667 0.368
Cr 0.333 0.667 0.632
Cr 0.333 0.667 0.868
Cr 0.667 0.333 0.132
Cr 0.667 0.333 0.368
Cr 0.667 0.333 0.632
Cr 0.667 0.333 0.868
Cr 0.742 0.000 0.750
Cr 0.742 0.742 0.250

=====

Ca3TcB | GGA-PBEsol | relaxed

**Mass density**: 2.75 Mg/m³
**Calculated formation energy**: 1.38 eV/atom
**Space group**: Pm-3m

Unit cell a=5.172 b=5.172 c=5.172 alpha=90.00 beta=90.00 gamma=90.00
Fractional positions:
Ca 0.000 0.000 0.500
Ca 0.000 0.500 0.000
Ca 0.500 0.000 0.000
Tc 0.000 0.000 0.000
B 0.500 0.500 0.500

=====

Zr2TlIn | GGA-PBEsol | relaxed

**Mass density**: 9.60 Mg/m³
**Calculated formation energy**: -0.17 eV/atom
**Relative energy among the computed polymorphs**: 0.104 eV per atom
**Space group**: Pm

Unit cell a=3.164 b=5.182 c=5.297 alpha=90.00 beta=92.69 gamma=90.00
Fractional positions:
Zr 0.000 0.000 0.000
Zr 0.116 0.500 0.632
Tl 0.538 0.000 0.505
In 0.574 0.500 0.124

=====

ReRu3Cl | GGA-PBEsol | relaxed

**Mass density**: 11.54 Mg/m³
**Raw formation energy**: 1.535 eV per atom
**Space group**: Pm-3m

Unit cell a=4.227 b=4.227 c=4.227 alpha=90.00 beta=90.00 gamma=90.00
Fractional positions:
Re 0.000 0.000 0.000
Ru 0.000 0.500 0.500
Ru 0.500 0.000 0.500
Ru 0.500 0.500 0.000
Cl 0.500 0.500 0.500

=====

CoSiAg3 | GGA-PBEsol | relaxed

**Mass density**: 7.01 Mg/m³
**Raw formation energy**: 0.986 eV per atom
**Space group**: Pm-3m

Unit cell a=4.599 b=4.599 c=4.599 alpha=90.00 beta=90.00 gamma=90.00
Fractional positions:
Co 0.000 0.000 0.000
Si 0.500 0.500 0.500
Ag 0.000 0.500 0.500
Ag 0.500 0.000 0.500
Ag 0.500 0.500 0.000

=====

CoRuSe2 | GGA-PBEsol | relaxed

**Mass density**: 9.07 Mg/m³
**Relative energy among the computed polymorphs**: 0.391 eV per atom
**Raw formation energy**: 0.149 eV per atom
**Space group**: C2/m

Unit cell a=7.412 b=3.045 c=5.308 alpha=90.00 beta=103.64 gamma=90.00
Fractional positions:
Co 0.000 0.000 0.000
Co 0.500 0.500 0.000
Ru 0.000 0.500 0.500
Ru 0.500 0.000 0.500
Se 0.248 0.500 0.245
Se 0.252 0.000 0.755
Se 0.748 0.000 0.245
Se 0.752 0.500 0.755

=====

SrZrTl2 | GGA-PBEsol | relaxed

**Mass density**: 8.72 Mg/m³
**Calculated formation energy**: 0.06 eV/atom
**Space group**: Pmm2

Unit cell a=3.546 b=5.056 c=6.243 alpha=90.00 beta=90.00 gamma=90.00
Fractional positions:
Sr 0.000 0.000 0.000
Zr 0.500 0.500 0.596
Tl 0.000 0.000 0.513
Tl 0.500 0.500 0.126